Entry A
Material: FeCu2Cl
Method: DFT, GGA-PBEsol
State: optimized geometry

Geometry as CIF:
```
data_FeCu2Cl
_chemical_formula_sum 'Fe2 Cu4 Cl2'
_cell_length_a 2.7575
_cell_length_b 3.7764
_cell_length_c 11.3103
_cell_angle_alpha 90.00
_cell_angle_beta 90.00
_cell_angle_gamma 90.00
_symmetry_space_group_name_H-M 'I m m 2'
_symmetry_Int_Tables_number 44
loop_
_symmetry_equiv_pos_as_xyz
'x,y,z'
'-x,-y,z'
'-x,y,z'
'x,-y,z'
'x+1/2,y+1/2,z+1/2'
'-x+1/2,-y+1/2,z+1/2'
'-x+1/2,y+1/2,z+1/2'
'x+1/2,-y+1/2,z+1/2'
loop_
_atom_site_label
_atom_site_fract_x
_atom_site_fract_y
_atom_site_fract_z
Fe1 0.0000 0.0000 0.0000
Cu1 0.0000 0.0000 0.5663
Cu2 0.0000 0.5000 0.6936
Cl1 0.0000 0.5000 0.3331
```

Output
- Magnetization: 5.61 μB/cell


Entry B
Material: FeCu2Cl
Method: DFT, GGA-PBEsol
State: optimized geometry

Geometry as CIF:
```
data_FeCu2Cl
_chemical_formula_sum 'Fe2 Cu4 Cl2'
_cell_length_a 2.7593
_cell_length_b 3.9072
_cell_length_c 10.1905
_cell_angle_alpha 90.00
_cell_angle_beta 90.00
_cell_angle_gamma 90.00
_symmetry_space_group_name_H-M 'I m m m'
_symmetry_Int_Tables_number 71
_symmetry_space_group_name_Hall '-I 2 2'
loop_
_atom_site_label
_atom_site_fract_x
_atom_site_fract_y
_atom_site_fract_z
Fe1 0.0000 0.0000 0.0000
Cu1 0.0000 0.5000 0.2791
Cl1 0.0000 0.0000 0.5000
```

Output
- Magnetization: 6.01 μB/cell


entry A is preferred energetically. Next in line: 13.3 kJ/mol of atoms higher.


Entry A
Material: FeCu2Cl
Method: DFT, GGA-PBEsol
State: optimized geometry

Geometry as CIF:
```
data_FeCu2Cl
_chemical_formula_sum 'Fe1 Cu2 Cl1'
_cell_length_a 2.8400
_cell_length_b 4.0298
_cell_length_c 4.6037
_cell_angle_alpha 90.00
_cell_angle_beta 90.00
_cell_angle_gamma 90.00
_symmetry_space_group_name_H-M 'P m m m'
_symmetry_Int_Tables_number 47
loop_
_symmetry_equiv_pos_as_xyz
'x,y,z'
'-x,-y,-z'
'-x,-y,z'
'x,y,-z'
'x,-y,-z'
'-x,y,z'
'-x,y,-z'
'x,-y,z'
loop_
_atom_site_label
_atom_site_fract_x
_atom_site_fract_y
_atom_site_fract_z
Fe1 0.0000 0.0000 0.0000
Cu1 0.0000 0.5000 0.5000
Cu2 0.5000 0.0000 0.5000
Cl1 0.5000 0.5000 0.0000
```

Output
- Magnetization: 3.15 μB/cell


Entry B
Material: FeCu2Cl
Method: DFT, GGA-PBEsol
State: optimized geometry

Geometry as CIF:
```
data_FeCu2Cl
_chemical_formula_sum 'Fe1 Cu2 Cl1'
_cell_length_a 2.8636
_cell_length_b 2.8636
_cell_length_c 6.5165
_cell_angle_alpha 90.00
_cell_angle_beta 90.00
_cell_angle_gamma 90.00
_symmetry_space_group_name_H-M 'P 4/m m m'
_symmetry_Int_Tables_number 123
_symmetry_space_group_name_Hall '-P 4 2'
loop_
_atom_site_label
_atom_site_fract_x
_atom_site_fract_y
_atom_site_fract_z
Fe1 0.0000 0.0000 0.0000
Cu1 0.5000 0.5000 0.2330
Cl1 0.0000 0.0000 0.5000
```

Output
- Magnetization: 2.92 μB/cell


entry B is preferred energetically. Next in line: 15.1 kJ/mol of atoms higher.


Entry A
Material: FeCuCl2
Method: DFT, GGA-PBEsol
State: optimized geometry

Geometry as CIF:
```
data_FeCuCl2
_chemical_formula_sum 'Fe2 Cu2 Cl4'
_cell_length_a 4.2265
_cell_length_b 4.6593
_cell_length_c 6.7042
_cell_angle_alpha 90.00
_cell_angle_beta 90.00
_cell_angle_gamma 90.00
_symmetry_space_group_name_H-M 'C m m 2'
_symmetry_Int_Tables_number 35
loop_
_symmetry_equiv_pos_as_xyz
'x,y,z'
'-x,-y,z'
'-x,y,z'
'x,-y,z'
'x+1/2,y+1/2,z'
'-x+1/2,-y+1/2,z'
'-x+1/2,y+1/2,z'
'x+1/2,-y+1/2,z'
loop_
_atom_site_label
_atom_site_fract_x
_atom_site_fract_y
_atom_site_fract_z
Fe1 0.0000 0.0000 0.0000
Cu1 0.0000 0.5000 0.7970
Cl1 0.0000 0.0000 0.6360
Cl2 0.0000 0.5000 0.1998
```

Output
- Magnetization: 6.13 μB/cell


Entry B
Material: FeCuCl2
Method: DFT, GGA-PBEsol
State: optimized geometry

Geometry as CIF:
```
data_FeCuCl2
_chemical_formula_sum 'Fe4 Cu4 Cl8'
_cell_length_a 6.1505
_cell_length_b 6.1505
_cell_length_c 6.1505
_cell_angle_alpha 90.00
_cell_angle_beta 90.00
_cell_angle_gamma 90.00
_symmetry_space_group_name_H-M 'F m -3 m'
_symmetry_Int_Tables_number 225
_symmetry_space_group_name_Hall '-F 4 2 3'
loop_
_atom_site_label
_atom_site_fract_x
_atom_site_fract_y
_atom_site_fract_z
Fe1 0.0000 0.0000 0.0000
Cu1 0.0000 0.0000 0.5000
Cl1 0.2500 0.2500 0.2500
```

Output
- Magnetization: 12.12 μB/cell


Entry C
Material: FeCuCl2
Method: DFT, GGA-PBEsol
State: optimized geometry

Geometry as CIF:
```
data_FeCuCl2
_chemical_formula_sum 'Fe4 Cu4 Cl8'
_cell_length_a 6.3491
_cell_length_b 6.3491
_cell_length_c 6.3491
_cell_angle_alpha 90.00
_cell_angle_beta 90.00
_cell_angle_gamma 90.00
_symmetry_space_group_name_H-M 'F -4 3 m'
_symmetry_Int_Tables_number 216
_symmetry_space_group_name_Hall 'F -4 2 3'
loop_
_atom_site_label
_atom_site_fract_x
_atom_site_fract_y
_atom_site_fract_z
Fe1 0.0000 0.0000 0.0000
Cu1 0.2500 0.2500 0.2500
Cl1 0.0000 0.0000 0.5000
Cl2 0.2500 0.2500 0.7500
```

Output
- Magnetization: 13.13 μB/cell


entry A is preferred energetically. Next in line: 26.7 kJ/mol of atoms higher.


Entry A
Material: FeCuCl
Method: DFT, GGA-PBEsol
State: optimized geometry

Geometry as CIF:
```
data_FeCuCl
_chemical_formula_sum 'Fe4 Cu4 Cl4'
_cell_length_a 3.0461
_cell_length_b 4.9160
_cell_length_c 11.4427
_cell_angle_alpha 90.00
_cell_angle_beta 90.00
_cell_angle_gamma 90.00
_symmetry_space_group_name_H-M 'F m m 2'
_symmetry_Int_Tables_number 42
_symmetry_space_group_name_Hall 'F 2 -2'
loop_
_atom_site_label
_atom_site_fract_x
_atom_site_fract_y
_atom_site_fract_z
Fe1 0.0000 0.0000 0.0000
Cu1 0.0000 0.0000 0.6632
Cl1 0.0000 0.0000 0.3412
```

Output
- Magnetization: 12.49 μB/cell


Entry B
Material: FeCuCl
Method: DFT, GGA-PBEsol
State: optimized geometry

Geometry as CIF:
```
data_FeCuCl
_chemical_formula_sum 'Fe2 Cu2 Cl2'
_cell_length_a 2.8316
_cell_length_b 2.8316
_cell_length_c 11.0453
_cell_angle_alpha 90.00
_cell_angle_beta 90.00
_cell_angle_gamma 90.00
_symmetry_space_group_name_H-M 'I 4 m m'
_symmetry_Int_Tables_number 107
_symmetry_space_group_name_Hall 'I 4 -2'
loop_
_atom_site_label
_atom_site_fract_x
_atom_site_fract_y
_atom_site_fract_z
Fe1 0.0000 0.0000 0.0000
Cu1 0.0000 0.0000 0.3581
Cl1 0.0000 0.0000 0.6340
```

Output
- Magnetization: 6.24 μB/cell


entry B is preferred energetically. Next in line: 0.5 kJ/mol of atoms higher.


Entry A
Material: Cu2HgCl
Method: DFT, GGA-PBEsol
State: optimized geometry

Geometry as CIF:
```
data_Cu2HgCl
_chemical_formula_sum 'Cu2 Hg1 Cl1'
_cell_length_a 3.2653
_cell_length_b 3.2653
_cell_length_c 6.1678
_cell_angle_alpha 90.00
_cell_angle_beta 90.00
_cell_angle_gamma 90.00
_symmetry_space_group_name_H-M 'P 4/m m m'
_symmetry_Int_Tables_number 123
_symmetry_space_group_name_Hall '-P 4 2'
loop_
_atom_site_label
_atom_site_fract_x
_atom_site_fract_y
_atom_site_fract_z
Cu1 0.0000 0.0000 0.2198
Hg1 0.5000 0.5000 0.0000
Cl1 0.5000 0.5000 0.5000
```

Output
- Magnetization: 0.00 μB/cell


Entry B
Material: Cu2HgCl
Method: DFT, GGA-PBEsol
State: optimized geometry

Geometry as CIF:
```
data_Cu2HgCl
_chemical_formula_sum 'Cu4 Hg2 Cl2'
_cell_length_a 3.0720
_cell_length_b 5.6102
_cell_length_c 7.8560
_cell_angle_alpha 90.00
_cell_angle_beta 90.00
_cell_angle_gamma 90.00
_symmetry_space_group_name_H-M 'C m m m'
_symmetry_Int_Tables_number 65
_symmetry_space_group_name_Hall '-C 2 2'
loop_
_atom_site_label
_atom_site_fract_x
_atom_site_fract_y
_atom_site_fract_z
Cu1 0.0000 0.0000 0.2325
Hg1 0.0000 0.5000 0.5000
Cl1 0.0000 0.5000 0.0000
```

Output
- Magnetization: 0.00 μB/cell


Entry C
Material: Cu2HgCl
Method: DFT, GGA-PBEsol
State: optimized geometry

Geometry as CIF:
```
data_Cu2HgCl
_chemical_formula_sum 'Cu2 Hg1 Cl1'
_cell_length_a 3.3133
_cell_length_b 3.7593
_cell_length_c 5.6743
_cell_angle_alpha 90.00
_cell_angle_beta 90.00
_cell_angle_gamma 90.00
_symmetry_space_group_name_H-M 'P m m m'
_symmetry_Int_Tables_number 47
loop_
_symmetry_equiv_pos_as_xyz
'x,y,z'
'-x,-y,-z'
'-x,-y,z'
'x,y,-z'
'x,-y,-z'
'-x,y,z'
'-x,y,-z'
'x,-y,z'
loop_
_atom_site_label
_atom_site_fract_x
_atom_site_fract_y
_atom_site_fract_z
Cu1 0.0000 0.0000 0.0000
Cu2 0.5000 0.0000 0.5000
Hg1 0.0000 0.5000 0.5000
Cl1 0.5000 0.5000 0.0000
```

Output
- Magnetization: 0.00 μB/cell


Entry D
Material: Cu2HgCl
Method: DFT, GGA-PBEsol
State: optimized geometry

Geometry as CIF:
```
data_Cu2HgCl
_chemical_formula_sum 'Cu4 Hg2 Cl2'
_cell_length_a 2.9498
_cell_length_b 5.8878
_cell_length_c 8.0850
_cell_angle_alpha 90.00
_cell_angle_beta 90.00
_cell_angle_gamma 90.00
_symmetry_space_group_name_H-M 'I m m m'
_symmetry_Int_Tables_number 71
_symmetry_space_group_name_Hall '-I 2 2'
loop_
_atom_site_label
_atom_site_fract_x
_atom_site_fract_y
_atom_site_fract_z
Cu1 0.0000 0.0000 0.2328
Hg1 0.0000 0.5000 0.0000
Cl1 0.0000 0.5000 0.5000
```

Output
- Magnetization: 0.00 μB/cell


entry B is preferred energetically. Next in line: 2.6 kJ/mol of atoms higher.


Entry A
Material: CuHgCl
Method: DFT, GGA-PBEsol
State: optimized geometry

Geometry as CIF:
```
data_CuHgCl
_chemical_formula_sum 'Cu2 Hg2 Cl2'
_cell_length_a 3.1063
_cell_length_b 3.1063
_cell_length_c 11.5420
_cell_angle_alpha 90.00
_cell_angle_beta 90.00
_cell_angle_gamma 90.00
_symmetry_space_group_name_H-M 'I 4 m m'
_symmetry_Int_Tables_number 107
_symmetry_space_group_name_Hall 'I 4 -2'
loop_
_atom_site_label
_atom_site_fract_x
_atom_site_fract_y
_atom_site_fract_z
Cu1 0.0000 0.0000 0.0000
Hg1 0.0000 0.0000 0.6547
Cl1 0.0000 0.0000 0.3888
```

Output
- Magnetization: 0.00 μB/cell


Entry B
Material: CuHgCl
Method: DFT, GGA-PBEsol
State: optimized geometry

Geometry as CIF:
```
data_CuHgCl
_chemical_formula_sum 'Cu1 Hg1 Cl1'
_cell_length_a 3.4746
_cell_length_b 3.4746
_cell_length_c 5.6043
_cell_angle_alpha 90.00
_cell_angle_beta 90.00
_cell_angle_gamma 120.00
_symmetry_space_group_name_H-M 'P 3 m 1'
_symmetry_Int_Tables_number 156
loop_
_symmetry_equiv_pos_as_xyz
'x,y,z'
'-y,x-y,z'
'-x+y,-x,z'
'-y,-x,z'
'-x+y,y,z'
'x,x-y,z'
loop_
_atom_site_label
_atom_site_fract_x
_atom_site_fract_y
_atom_site_fract_z
Cu1 0.0000 0.0000 0.0000
Hg1 0.3333 0.6667 0.6852
Cl1 0.6667 0.3333 0.2209
```

Output
- Magnetization: 0.00 μB/cell


entry B is preferred energetically. Next in line: 16.3 kJ/mol of atoms higher.